# 1
Entry from Alexandria: an optimized crystal structure of LaZrSc2 (PBE).

Structure (POSCAR):
```
LaZrSc2
1.0
-2.844 0.811 1.500
1.463 -0.343 2.957
2.577 9.381 -0.187
Sc Zr La
2 1 1
direct
0.000 0.000 0.030
0.000 0.000 0.470
0.500 0.500 0.250
0.500 0.500 0.750
```

Values from the calculation:
E: -25.9 eV per cell
Crystal system: tetragonal
E_form: 5 kJ per mole of atoms



# 2
Entry from Alexandria: an optimized crystal structure of BaAc2LaAs4 (PBE).

Structure (POSCAR):
```
BaAc2LaAs4
1.0
4.545 0.000 0.000
0.000 7.873 -0.150
0.000 2.776 7.404
Ba Ac La As
1 2 1 4
direct
0.500 0.500 0.000
0.000 0.000 0.000
0.500 0.000 0.500
0.000 0.500 0.500
0.000 0.757 0.735
0.000 0.243 0.265
0.500 0.748 0.261
0.500 0.252 0.739
```

Values from the calculation:
E: -44.1 eV per cell
Crystal system: monoclinic
E_form: -126 kJ per mole of atoms



# 3
Entry from Alexandria: an optimized crystal structure of TiCuSb2I (PBE).

Structure (POSCAR):
```
TiCuSb2I
1.0
5.314 0.000 0.000
0.000 5.314 0.000
0.000 0.000 5.366
I Sb Cu Ti
1 2 1 1
direct
0.000 0.000 0.500
0.000 0.500 0.000
0.500 0.000 0.000
0.500 0.500 0.500
0.000 0.000 0.000
```

Values from the calculation:
E: -19.2 eV per cell
Crystal system: tetragonal
Formation energy without anion corrections: 0.512 eV per atom



# 4
Entry from Alexandria: an optimized crystal structure of KRb2Ba (PBE).

Structure (POSCAR):
```
KRb2Ba
1.0
4.574 -0.347 0.000
-1.548 4.317 0.000
0.000 0.000 16.103
K Rb Ba
1 2 1
direct
0.500 0.500 0.250
0.000 0.000 0.997
0.000 0.000 0.503
0.500 0.500 0.750
```

Values from the calculation:
E: -4.7 eV per cell
Crystal system: orthorhombic
E_form: 7 kJ per mole of atoms



# 5
Entry from Alexandria: an optimized crystal structure of Li2In4Pb (PBE).

Structure (POSCAR):
```
Li2In4Pb
1.0
10.039 0.000 0.000
0.000 5.604 -2.593
0.000 -0.482 6.310
Li In Pb
4 8 2
direct
0.000 0.718 0.437
0.000 0.282 0.563
0.500 0.782 0.563
0.500 0.218 0.437
0.833 0.500 0.000
0.750 0.500 0.500
0.750 0.000 0.500
0.667 0.000 0.000
0.333 0.000 0.000
0.250 0.000 0.500
0.250 0.500 0.500
0.167 0.500 0.000
0.000 0.000 0.000
0.500 0.500 0.000
```

Values from the calculation:
E: -38.1 eV per cell
Crystal system: orthorhombic
E_form: -7 kJ per mole of atoms



# 6
Entry from Alexandria: an optimized crystal structure of Ba3Ca2Ag2Hg4 (PBE).

Structure (POSCAR):
```
Ba3Ca2Ag2Hg4
1.0
5.067 0.000 0.000
-2.534 4.388 0.000
0.000 0.000 17.381
Ba Ca Ag Hg
3 2 2 4
direct
0.000 0.000 0.755
0.000 0.000 0.000
0.000 0.000 0.245
0.667 0.333 0.433
0.333 0.667 0.567
0.667 0.333 0.876
0.333 0.667 0.124
0.667 0.333 0.124
0.333 0.667 0.876
0.667 0.333 0.630
0.333 0.667 0.370
```

Values from the calculation:
E: -20.5 eV per cell
Crystal system: trigonal
E_form: -34 kJ per mole of atoms



# 7
Entry from Alexandria: an optimized crystal structure of YBe2Pt2 (PBE).

Structure (POSCAR):
```
YBe2Pt2
1.0
-1.159 -0.769 7.169
7.193 0.377 1.203
-0.191 2.789 0.268
Y Be Pt
2 4 4
direct
0.000 0.000 0.000
0.500 0.500 0.000
0.142 0.642 0.500
0.642 0.858 0.500
0.858 0.358 0.500
0.358 0.142 0.500
0.357 0.857 0.000
0.857 0.643 0.000
0.643 0.143 0.000
0.143 0.357 0.000
```

Values from the calculation:
E: -57.4 eV per cell
Crystal system: tetragonal
E_form: -52 kJ per mole of atoms



# 8
Entry from Alexandria: an optimized crystal structure of CoReS2I (PBE).

Structure (POSCAR):
```
CoReS2I
1.0
4.305 0.000 0.000
0.000 4.970 0.000
0.000 0.000 4.305
I Re S Co
1 1 2 1
direct
0.000 0.500 0.000
0.500 0.500 0.500
0.000 0.000 0.500
0.500 0.000 0.000
0.000 0.000 0.000
```

Values from the calculation:
E: -22.8 eV per cell
Crystal system: tetragonal
Formation energy without anion corrections: 1.315 eV per atom



# 9
Entry from Alexandria: an optimized crystal structure of KCuAg2 (PBE).

Structure (POSCAR):
```
KCuAg2
1.0
6.297 0.034 0.018
3.173 5.439 -0.018
-3.875 -4.224 2.606
Ag Cu K
2 1 1
direct
0.966 0.966 0.000
0.737 0.237 0.500
0.537 0.537 0.000
0.260 0.760 0.500
```

Values from the calculation:
E: -9.6 eV per cell
Crystal system: orthorhombic
E_form: 32 kJ per mole of atoms



# 10
Entry from Alexandria: an optimized crystal structure of RbCr2FeB (PBE).

Structure (POSCAR):
```
RbCr2FeB
1.0
-1.091 3.631 2.474
-5.791 -0.822 -1.347
-0.476 -2.632 3.653
Cr B Fe Rb
2 1 1 1
direct
0.000 0.000 0.500
0.500 0.000 0.000
0.500 0.500 0.500
0.000 0.000 0.000
0.000 0.500 0.000
```

Values from the calculation:
E: -25.1 eV per cell
Crystal system: tetragonal
E_form: 197 kJ per mole of atoms



# 11
Entry from Alexandria: an optimized crystal structure of TbY3Er7 (PBE).

Structure (POSCAR):
```
TbY3Er7
1.0
1.434 5.252 -0.712
-2.491 -0.614 -9.546
-6.865 -3.250 4.552
Tb Y Er
1 3 7
direct
0.500 0.500 0.500
0.279 0.001 0.780
0.000 0.500 0.000
0.721 0.999 0.220
0.914 0.831 0.914
0.855 0.708 0.355
0.679 0.359 0.179
0.321 0.641 0.821
0.500 0.000 0.500
0.145 0.292 0.645
0.086 0.169 0.086
```

Values from the calculation:
E: -54.2 eV per cell
Crystal system: monoclinic
E_form: 16 kJ per mole of atoms



# 12
Entry from Alexandria: an optimized crystal structure of Y2Cu3Si2 (PBE).

Structure (POSCAR):
```
Y2Cu3Si2
1.0
4.041 0.000 0.000
-2.020 5.083 -0.103
0.000 -2.467 5.914
Y Cu Si
2 3 2
direct
0.850 0.701 0.239
0.150 0.299 0.761
0.500 0.000 0.000
0.605 0.211 0.423
0.395 0.789 0.577
0.861 0.722 0.768
0.139 0.278 0.232
```

Values from the calculation:
E: -39.5 eV per cell
Crystal system: monoclinic
Formation energy without anion corrections: -0.488 eV per atom



Number 1: spin magnetization 0.0 Bohr magnetons per cell. Number 2: spin magnetization 0.0 Bohr magnetons per cell. Number 3: spin magnetization 0.0 Bohr magnetons per cell. Number 4: spin magnetization 0.0 Bohr magnetons per cell. Number 5: spin magnetization 0.0 Bohr magnetons per cell. Number 6: spin magnetization 0.0 Bohr magnetons per cell. Number 7: spin magnetization 0.0 Bohr magnetons per cell. Number 8: spin magnetization 0.0 Bohr magnetons per cell. Number 9: spin magnetization 0.0 Bohr magnetons per cell. Number 10: spin magnetization 5.2 Bohr magnetons per cell. Number 11: spin magnetization 0.0 Bohr magnetons per cell. Number 12: spin magnetization 0.0 Bohr magnetons per cell.